[1]
# MgScFePb PBE relaxed
data_MgScFePb
_chemical_formula_sum 'Mg1 Sc1 Fe1 Pb1'
_cell_length_a 4.831
_cell_length_b 4.831
_cell_length_c 4.831
_cell_angle_alpha 60.00
_cell_angle_beta 60.00
_cell_angle_gamma 60.00
_symmetry_space_group_name_H-M 'P 1'
_symmetry_Int_Tables_number 1
_symmetry_space_group_name_Hall 'P 1'
loop_
_atom_site_label
_atom_site_fract_x
_atom_site_fract_y
_atom_site_fract_z
Mg1 0.250 0.250 0.250
Sc1 0.750 0.750 0.750
Pb1 0.000 0.000 0.000
Fe1 0.500 0.500 0.500
# Total energy (eV for the cell shown): -19.549
# Symmetry: F-43m, No. 216
# ΔE to the lowest computed polymorph (meV/atom): 0
# Crystal system: cubic


[2]
# DyErCS PBE relaxed
data_DyErCS
_chemical_formula_sum 'Dy2 Er2 C2 S2'
_cell_length_a 3.685
_cell_length_b 3.685
_cell_length_c 12.833
_cell_angle_alpha 90.00
_cell_angle_beta 90.00
_cell_angle_gamma 120.00
_symmetry_space_group_name_H-M 'P 1'
_symmetry_Int_Tables_number 1
_symmetry_space_group_name_Hall 'P 1'
loop_
_atom_site_label
_atom_site_fract_x
_atom_site_fract_y
_atom_site_fract_z
Er1 0.667 0.333 0.104
C1 0.000 0.000 0.501
Er2 0.333 0.667 0.604
Dy1 0.333 0.667 0.896
S1 0.667 0.333 0.749
C2 0.000 0.000 0.001
S2 0.333 0.667 0.249
Dy2 0.667 0.333 0.396
# Total energy (eV for the cell shown): -55.215
# Symmetry: P6_3mc, No. 186
# Crystal system: hexagonal


[3]
# ZrZnCuPt PBE relaxed
data_ZrZnCuPt
_chemical_formula_sum 'Zr1 Zn1 Cu1 Pt1'
_cell_length_a 4.500
_cell_length_b 4.500
_cell_length_c 4.500
_cell_angle_alpha 60.00
_cell_angle_beta 60.00
_cell_angle_gamma 60.00
_symmetry_space_group_name_H-M 'P 1'
_symmetry_Int_Tables_number 1
_symmetry_space_group_name_Hall 'P 1'
loop_
_atom_site_label
_atom_site_fract_x
_atom_site_fract_y
_atom_site_fract_z
Cu1 0.750 0.750 0.750
Zn1 0.000 0.000 0.000
Pt1 0.250 0.250 0.250
Zr1 0.500 0.500 0.500
# Total energy (eV for the cell shown): -21.777
# Symmetry: F-43m, No. 216
# Formation energy (eV/atom): -0.55
# ΔE to the lowest computed polymorph (meV/atom): 0
# Crystal system: cubic


Question: total energy of number 2 (DyErCS)?
Answer: -55.215 eV for the cell shown


Please write out number 3 again, unchanged.
# ZrZnCuPt PBE relaxed
data_ZrZnCuPt
_chemical_formula_sum 'Zr1 Zn1 Cu1 Pt1'
_cell_length_a 4.500
_cell_length_b 4.500
_cell_length_c 4.500
_cell_angle_alpha 60.00
_cell_angle_beta 60.00
_cell_angle_gamma 60.00
_symmetry_space_group_name_H-M 'P 1'
_symmetry_Int_Tables_number 1
_symmetry_space_group_name_Hall 'P 1'
loop_
_atom_site_label
_atom_site_fract_x
_atom_site_fract_y
_atom_site_fract_z
Cu1 0.750 0.750 0.750
Zn1 0.000 0.000 0.000
Pt1 0.250 0.250 0.250
Zr1 0.500 0.500 0.500
# Total energy (eV for the cell shown): -21.777
# Symmetry: F-43m, No. 216
# Formation energy (eV/atom): -0.55
# ΔE to the lowest computed polymorph (meV/atom): 0
# Crystal system: cubic


Question: Among the records above, which one has the lowest total energy?
Answer: DyErCS


Question: The lowest total energy belongs to which entry?
Answer: DyErCS